# 1
Computed, not measured: an optimized crystal structure of PuPaNi at the GGA-PBE level of DFT.

Cell: 16.588 3.302 4.380 Å, 90.00 90.05 90.00°
Space group C2/m (No. 12)
Symmetry-distinct sites (fractional):
Pu1 0.204 0.000 0.250 [4 per cell]
Pa1 0.095 0.000 0.750 [4 per cell]
Ni1 0.043 0.500 0.250 [4 per cell]

Results
Magnetic moment (μB/cell): 21.608
Energy above the lowest structure with this stoichiometry (meV/atom): 39
Total DFT energy (no corrections) (eV for the cell shown): -119.95

=====

# 2
Computed, not measured: an optimized crystal structure of Ta2Mo3 at the GGA-PBE level of DFT.

Cell: 3.194 4.627 22.659 Å, 90.00 90.00 90.00°
Space group Fmmm (No. 69)
Symmetry-distinct sites (fractional):
Ta1 0.000 0.000 0.196 [8 per cell]
Mo1 0.000 0.000 0.000 [4 per cell]
Mo2 0.000 0.000 0.404 [8 per cell]

Results
Magnetic moment (μB/cell): 0.000
Energy above the lowest structure with this stoichiometry (meV/atom): 120
Total DFT energy (no corrections) (eV for the cell shown): -226.31

=====

# 3
Computed, not measured: an optimized crystal structure of YMgZr2 at the GGA-PBE level of DFT.

Cell: 3.2309 3.2309 32.9839 Å, 90.00 90.00 120.00°
Space group R-3m (No. 166, hexagonal axes)
Symmetry-distinct sites (fractional):
Y1 0.0000 0.0000 0.0000 [3 per cell]
Mg1 0.0000 0.0000 0.5000 [3 per cell]
Zr1 0.0000 0.0000 0.2483 [6 per cell]

Results
Magnetic moment (μB/cell): 0.000
Total DFT energy (no corrections) (eV for the cell shown): -73.90

=====

# 4
Computed, not measured: an optimized crystal structure of TbDyLu4 at the GGA-PBE level of DFT.

Cell: 9.151 9.151 9.151 Å, 90.00 90.00 90.00°
Space group F-43m (No. 216)
Symmetry-distinct sites (fractional):
Tb1 0.000 0.000 0.000 [4 per cell]
Dy1 0.250 0.250 0.250 [4 per cell]
Lu1 0.125 0.125 0.625 [16 per cell]

Results
Magnetic moment (μB/cell): 6.024
Total DFT energy (no corrections) (eV for the cell shown): -102.38

=====

# 5
Computed, not measured: an optimized crystal structure of Pt2AuBr at the GGA-PBE level of DFT.

Cell: 3.274 3.274 7.210 Å, 90.00 90.00 90.00°
Space group P4mm (No. 99)
Symmetry-distinct sites (fractional):
Pt1 0.000 0.000 0.000 [1 per cell]
Pt2 0.500 0.500 0.188 [1 per cell]
Au1 0.000 0.000 0.413 [1 per cell]
Br1 0.500 0.500 0.738 [1 per cell]

Results
Magnetic moment (μB/cell): 0.000
Energy above the lowest structure with this stoichiometry (meV/atom): 124
Raw formation energy (eV per atom): 0.382
Total DFT energy (no corrections) (eV for the cell shown): -15.50

=====

# 6
Computed, not measured: an optimized crystal structure of V2In2Bi at the GGA-PBE level of DFT.

Cell: 4.074 4.074 12.949 Å, 90.00 90.00 90.00°
Space group I4/mmm (No. 139)
Symmetry-distinct sites (fractional):
V1 0.000 0.000 0.085 [4 per cell]
In1 0.000 0.500 0.250 [4 per cell]
Bi1 0.000 0.000 0.500 [2 per cell]

Results
Magnetic moment (μB/cell): 3.592
Energy above the lowest structure with this stoichiometry (meV/atom): 191
Total DFT energy (no corrections) (eV for the cell shown): -50.43

=====

# 7
Computed, not measured: an optimized crystal structure of DyZnCu11 at the GGA-PBE level of DFT.

Cell: 4.857 11.959 6.513 Å, 90.00 111.60 90.00°
Space group C2/m (No. 12)
Symmetry-distinct sites (fractional):
Dy1 0.000 0.000 0.000 [2 per cell]
Zn1 0.000 0.500 0.500 [2 per cell]
Cu1 0.000 0.000 0.500 [2 per cell]
Cu2 0.110 0.389 0.220 [8 per cell]
Cu3 0.169 0.179 0.352 [8 per cell]
Cu4 0.250 0.250 0.000 [4 per cell]

Results
Magnetic moment (μB/cell): 0.000
Total DFT energy (no corrections) (eV for the cell shown): -104.40

=====

# 8
Computed, not measured: an optimized crystal structure of KCuAs at the GGA-PBE level of DFT.

Cell: 3.287 3.789 11.666 Å, 90.00 90.00 90.00°
Space group Imm2 (No. 44)
Symmetry-distinct sites (fractional):
K1 0.000 0.000 0.000 [2 per cell]
Cu1 0.000 0.000 0.261 [2 per cell]
As1 0.000 0.000 0.722 [2 per cell]

Results
Magnetic moment (μB/cell): 0.000
Total DFT energy (no corrections) (eV for the cell shown): -19.93